Crystalline Sc3Re at its relaxed geometry, computed with PBEsol.

It has space group Fm-3m (No. 225), with a = 6.695 Å, b = 6.695 Å, c = 6.695 Å, α = 90.00°, β = 90.00° and γ = 90.00°. The asymmetric unit holds Sc at (0.000, 0.000, 0.000), Sc at (0.250, 0.250, 0.250) and Re at (0.000, 0.000, 0.500).

Its calculated formation energy is 0.044 eV per atom.